1.
## Tb5Ho4Th2 (PBE)

Data for a relaxed structure of Tb5Ho4Th2.

## Properties
VASP energy in Ha/atom: -0.18308
DFT formation energy in eV per atom: 0.1364
Energy relative to the lowest polymorph listed for this composition in meV per atom: 0
Calculated volume in Å³/atom: 32.492
Theoretical density in g cm⁻³: 8.9
Total moment in μB/f.u.: 0.01

a b c (Å): 8.7677 3.4854 11.7274
angles (deg): 90.00 94.19 90.00
With the nearest neighbours (Å) after each atom.
Space group P2/m (No. 10)
Unique sites:
Tb (0.0000, 0.0000, 0.0000) [1 per cell]  6 Tb 3.38-3.49, 4 Ho 3.60
Tb (0.0724, 0.0000, 0.2891) [2 per cell]  4 Tb 3.40-3.52, 1 Th 3.48, 6 Ho 3.57-3.72
Tb (0.3040, 0.0000, 0.8385) [2 per cell]  1 Th 3.25, 4 Tb 3.38-3.52, 4 Ho 3.59-3.60
Ho (0.1949, 0.5000, 0.5458) [2 per cell]  3 Ho 3.49-3.51, 4 Th 3.55-3.71, 4 Tb 3.57-3.60
Ho (0.3404, 0.5000, 0.1074) [2 per cell]  3 Ho 3.49-3.90, 8 Tb 3.59-3.72, 2 Th 3.59
Th (0.4639, 0.0000, 0.3655) [2 per cell]  3 Th 3.17-3.49, 2 Tb 3.25-3.48, 2 Ho 3.55

---

2.
## Y2ZnNiRu (PBE)

Data for a relaxed structure of Y2ZnNiRu.

## Properties
VASP energy in Ha/atom: -0.18982
DFT formation energy in eV per atom: 0.6867
Calculated volume in Å³/atom: 24.634
Theoretical density in g cm⁻³: 5.4
Total moment in μB/f.u.: 0.00

a b c (Å): 5.2571 5.2571 4.4567
angles (deg): 90.00 90.00 90.00
With the nearest neighbours (Å) after each atom.
Space group P4/mmm (No. 123)
Unique sites:
Y (0.0000, 0.5000, 0.0000) [2 per cell]  2 Zn 2.63
Zn (0.0000, 0.0000, 0.0000) [1 per cell]  2 Ru 2.23
Ni (0.5000, 0.5000, 0.5000) [1 per cell]  8 Y 3.45, 4 Ru 3.72
Ru (0.0000, 0.0000, 0.5000) [1 per cell]  2 Zn 2.23

---

Q: Which of these has the highest calculated volume?
A: Tb5Ho4Th2